The following is a PBE with a Hubbard U calculation of a relaxed structure of PaMnAg2O6, from the Alexandria database.

Fermi-level density of states	1.038	states/eV/atom
size of the total moment	2.274	μB/f.u.
electronic total energy	-6.810	eV per atom
crystal system	trigonal

a b c (Å): 5.5841 5.5841 14.2050
angles (deg): 90.00 90.00 120.00
Space group R-3 (No. 148, hexagonal axes)
Inequivalent atoms, fractional coordinates:
Pa: 0.0000 0.0000 0.0000 [3 per cell]
Mn: 0.0000 0.0000 0.5000 [3 per cell]
Ag: 0.0000 0.0000 0.2514 [6 per cell]
O: 0.0225 0.4195 0.2456 [18 per cell]